[1]
PBE BaSbP2, relaxed; energy relative to the elements, uncorrected = -0.05 eV per atom; SG = R3m
1.0
-1.108 4.146 7.862
-1.335 0.632 8.834
1.936 2.217 8.460
P Ba Sb
2 1 1
Direct
0.266 0.266 0.266
0.975 0.975 0.975
0.742 0.742 0.742
0.518 0.518 0.518

---

[2]
PBE LaNdDyS3, relaxed; energy relative to the elements, uncorrected = -1.97 eV per atom; SG = P2_1/m
1.0
-2.644 2.933 0.115
-1.622 -1.199 -6.676
-6.765 -6.301 5.164
Nd S La Dy
2 6 2 2
Direct
0.750 0.874 0.367
0.250 0.126 0.633
0.250 0.454 0.847
0.750 0.281 0.494
0.250 0.719 0.506
0.750 0.546 0.153
0.250 0.949 0.849
0.750 0.051 0.151
0.750 0.651 0.697
0.250 0.349 0.303
0.750 0.232 0.945
0.250 0.768 0.055

---

[3]
PBE Rb2OsPt, relaxed; ΔE to the lowest computed polymorph = 0 meV per atom; energy of formation = 0.976 eV per atom; SG = I-42d
1.0
-0.274 -11.645 -4.351
1.867 -4.341 11.501
-1.593 -8.071 3.933
Rb Os Pt
4 2 2
Direct
0.949 0.625 0.250
0.875 0.051 0.750
0.375 0.199 0.750
0.801 0.125 0.250
0.250 0.750 0.500
0.500 0.500 0.000
0.000 0.000 0.000
0.750 0.250 0.500

---

[4]
PBE CsCrGaTe3, relaxed; energy relative to the elements, uncorrected = -0.47 eV per atom; SG = P2_1/m
1.0
3.987 0.000 0.000
0.000 9.652 -0.949
0.000 -3.577 10.968
Ga Cr Te Cs
2 2 6 2
Direct
0.750 0.890 0.434
0.250 0.110 0.566
0.250 0.638 0.155
0.750 0.362 0.845
0.250 0.671 0.404
0.750 0.848 0.187
0.250 0.575 0.902
0.250 0.152 0.813
0.750 0.329 0.596
0.750 0.425 0.098
0.750 0.771 0.722
0.250 0.229 0.278

---

[5]
PBE LiCaZnIr, relaxed; energy of formation = -0.186 eV per atom; SG = F-43m
1.0
-3.059 0.659 3.354
-0.378 -3.064 3.393
1.426 1.070 4.226
Li Zn Ir Ca
1 1 1 1
Direct
0.250 0.250 0.250
0.750 0.750 0.750
0.000 0.000 0.000
0.500 0.500 0.500

---

[6]
PBE MnAgCl2, relaxed; energy relative to the elements, uncorrected = -0.31 eV per atom; ΔE to the lowest computed polymorph = 172 meV per atom; SG = P2/m
1.0
3.277 0.000 0.000
0.000 3.324 0.054
0.000 1.831 10.086
Ag Cl Mn
1 2 1
Direct
0.500 0.750 0.750
0.000 0.439 0.402
0.000 0.061 0.098
0.500 0.250 0.250

---

[7]
PBE PrSm2Dy5, relaxed; ΔE to the lowest computed polymorph = 154 meV per atom; energy of formation = 0.171 eV per atom; SG = C2/c
1.0
9.149 0.000 -3.914
-1.008 5.958 -2.357
-0.793 -1.729 10.797
Sm Pr Dy
4 2 10
Direct
0.823 0.538 0.152
0.671 0.962 0.848
0.177 0.462 0.848
0.329 0.038 0.152
0.000 0.000 0.500
0.500 0.500 0.500
0.509 0.556 0.197
0.491 0.444 0.803
0.944 0.750 0.000
0.106 0.372 0.392
0.688 0.056 0.197
0.312 0.944 0.803
0.894 0.628 0.608
0.056 0.250 0.000
0.714 0.128 0.608
0.286 0.872 0.392

---

[8]
PBE BaAl3Tl, relaxed; ΔE to the lowest computed polymorph = 0 meV per atom; energy of formation = 0.454 eV per atom; SG = Pm-3m
1.0
-0.426 5.326 1.078
-3.396 0.583 -4.224
-4.243 -1.001 3.272
Al Tl Ba
3 1 1
Direct
0.000 0.000 0.500
0.500 0.000 0.000
0.000 0.500 0.000
0.000 0.000 0.000
0.500 0.500 0.500

---

[9]
PBE PmY2TmSe6, relaxed; energy relative to the elements, uncorrected = -1.85 eV per atom; SG = R3
1.0
-4.916 4.713 2.459
-7.062 -1.455 -0.668
-3.931 -1.868 6.382
Se Tm Y Pm
6 1 2 1
Direct
0.224 0.921 0.248
0.606 0.224 0.248
0.720 0.122 0.753
0.122 0.406 0.753
0.921 0.606 0.249
0.405 0.720 0.753
0.319 0.319 0.042
0.013 0.013 0.962
0.516 0.516 0.453
0.815 0.815 0.555

---

[10]
PBE MgGe3H, relaxed; ΔE to the lowest computed polymorph = 888 meV per atom; SG = Pm-3m
1.0
-2.232 -4.285 1.411
4.419 -1.760 1.644
-0.906 1.968 4.543
Mg H Ge
1 1 3
Direct
0.000 0.000 0.000
0.500 0.500 0.500
0.500 0.000 0.000
0.000 0.500 0.000
0.000 0.000 0.500

---

[11]
PBE Co2Sb8Ir, relaxed; energy relative to the elements, uncorrected = 0.10 eV per atom; SG = P-1
1.0
-0.178 2.058 -4.443
-3.627 -6.758 -2.985
-4.444 6.052 3.054
Sb Co Ir
8 2 1
Direct
0.757 0.343 0.687
0.693 0.841 0.681
0.300 0.156 0.842
0.700 0.844 0.158
0.700 0.314 0.159
0.243 0.657 0.313
0.300 0.686 0.841
0.307 0.159 0.319
0.757 0.665 0.329
0.243 0.335 0.671
0.000 0.000 0.000

---

[12]
PBE Mg6PPd12, relaxed; energy of formation = -0.494 eV per atom; SG = R-3
1.0
-3.172 -3.107 5.104
4.049 -5.287 -1.189
4.478 2.976 4.107
Pd P Mg
12 1 6
Direct
0.545 0.207 0.445
0.207 0.445 0.545
0.878 0.657 0.980
0.020 0.122 0.343
0.343 0.020 0.122
0.980 0.878 0.657
0.122 0.343 0.020
0.793 0.555 0.455
0.657 0.980 0.878
0.455 0.793 0.555
0.445 0.545 0.207
0.555 0.455 0.793
0.000 0.000 0.000
0.125 0.729 0.308
0.875 0.271 0.692
0.308 0.125 0.729
0.692 0.875 0.271
0.729 0.308 0.125
0.271 0.692 0.875